Entry one
First-principles (PBE-GGA) data for a geometry-optimized Rb3BBr6 structure, as listed in the Alexandria database.

Properties
Density of states at the Fermi level in states/eV per cell: 0.00

Cell: 13.7128 16.2558 8.3622 Å, 90.00 90.00 90.00°
Space group Cmc2_1 (No. 36)
Symmetry-distinct sites (fractional):
Rb 0.0000 0.0711 0.0000 (multiplicity 4)
Rb 0.1936 0.4030 0.9464 (multiplicity 8)
B 0.0000 0.3271 0.5189 (multiplicity 4)
Br 0.0000 0.3217 0.2745 (multiplicity 4)
Br 0.0000 0.4474 0.5951 (multiplicity 4)
Br 0.1209 0.2706 0.6060 (multiplicity 8)
Br 0.1695 0.0212 0.7298 (multiplicity 8)



Entry two
First-principles (PBE-GGA) data for a geometry-optimized Rb3BBr6 structure, as listed in the Alexandria database.

Properties
Density of states at the Fermi level in states/eV per cell: 0.00

Cell: 11.1677 11.1677 11.1677 Å, 90.00 90.00 90.00°
Space group Fm-3m (No. 225)
Symmetry-distinct sites (fractional):
Rb 0.0000 0.0000 0.0000 (multiplicity 4)
Rb 0.2500 0.2500 0.2500 (multiplicity 8)
B 0.0000 0.0000 0.5000 (multiplicity 4)
Br 0.0000 0.0000 0.2900 (multiplicity 24)



Which structure is the least stable? The one labeled entry two.



Entry one
First-principles (PBE-GGA) data for a geometry-optimized RbB2Br structure, as listed in the Alexandria database.

Properties
Density of states at the Fermi level in states/eV per cell: 15.72

Cell: 7.1967 7.1967 7.1967 Å, 90.00 90.00 90.00°
Space group Fm-3m (No. 225)
Symmetry-distinct sites (fractional):
Rb 0.0000 0.0000 0.0000 (multiplicity 4)
B 0.2500 0.2500 0.2500 (multiplicity 8)
Br 0.0000 0.0000 0.5000 (multiplicity 4)



Entry two
First-principles (PBE-GGA) data for a geometry-optimized RbB2Br structure, as listed in the Alexandria database.

Properties
Density of states at the Fermi level in states/eV per cell: 9.52

Cell: 4.0683 4.0683 20.8057 Å, 90.00 90.00 90.00°
Space group I4_1/amd (No. 141, origin choice 2)
Symmetry-distinct sites (fractional):
Rb 0.0000 0.2500 0.3750 (multiplicity 4)
B 0.0000 0.0000 0.0000 (multiplicity 8)
Br 0.0000 0.2500 0.8750 (multiplicity 4)



Which structure is the least stable? The one labeled entry one.



Entry one
First-principles (PBE-GGA) data for a geometry-optimized RbBSe2Br structure, as listed in the Alexandria database.

Properties
Density of states at the Fermi level in states/eV per cell: 4.72

Cell: 4.4492 4.4492 7.3730 Å, 90.00 90.00 90.00°
Space group P4/mmm (No. 123)
Symmetry-distinct sites (fractional):
Rb 0.0000 0.0000 0.0000 (multiplicity 1)
B 0.5000 0.5000 0.5000 (multiplicity 1)
Se 0.0000 0.5000 0.5000 (multiplicity 2)
Br 0.5000 0.5000 0.0000 (multiplicity 1)



Entry two
First-principles (PBE-GGA) data for a geometry-optimized RbBSe2Br structure, as listed in the Alexandria database.

Properties
Density of states at the Fermi level in states/eV per cell: 6.44

Cell: 6.4576 6.4576 6.3713 Å, 90.00 90.00 90.00°
Space group P4/mmm (No. 123)
Symmetry-distinct sites (fractional):
Rb 0.0000 0.0000 0.0000 (multiplicity 1)
B 0.5000 0.5000 0.5000 (multiplicity 1)
Se 0.0000 0.5000 0.0000 (multiplicity 2)
Br 0.0000 0.0000 0.5000 (multiplicity 1)



Which structure is the least stable? The one labeled entry two.



Entry one
First-principles (PBE-GGA) data for a geometry-optimized ReBBr3 structure, as listed in the Alexandria database.

Properties
Density of states at the Fermi level in states/eV per cell: 3.80

Cell: 5.1571 5.1571 5.1571 Å, 90.00 90.00 90.00°
Space group Pm-3m (No. 221)
Symmetry-distinct sites (fractional):
Re 0.0000 0.0000 0.0000 (multiplicity 1)
B 0.5000 0.5000 0.5000 (multiplicity 1)
Br 0.0000 0.0000 0.5000 (multiplicity 3)



Entry two
First-principles (PBE-GGA) data for a geometry-optimized ReBBr3 structure, as listed in the Alexandria database.

Properties
Density of states at the Fermi level in states/eV per cell: 1.60

Cell: 4.8365 4.8365 4.8365 Å, 90.00 90.00 90.00°
Space group Pm-3m (No. 221)
Symmetry-distinct sites (fractional):
Re 0.0000 0.0000 0.0000 (multiplicity 1)
B 0.5000 0.5000 0.5000 (multiplicity 1)
Br 0.0000 0.5000 0.5000 (multiplicity 3)



Which structure is the least stable? The one labeled entry two.